Here is a geometry-optimized FePdIO2 structure from Alexandria via LeMat-Bulk. Energies are from PBE+U.

Summary:
The value obtained for the uncorrected energy is -20.80 eV per cell. The crystal system is tetragonal. For the energy above the most stable polymorph in this dataset, the calculation gives 0.5554 eV per atom. The space group is No. 123.

```
FePdIO2
1.0
4.015 0.000 0.000
0.000 4.015 0.000
0.000 0.000 5.767
I O Fe Pd
1 2 1 1
direct
0.000 0.000 0.500
0.000 0.500 0.000
0.500 0.000 0.000
0.500 0.500 0.500
0.000 0.000 0.000
```